This record from Alexandria via LeMat-Bulk describes a relaxed structure of CeUHN2. The functional is PBE.

Calculated values
calculated volume = 13.2 Å³ per atom
DFT total energy = -8.65 eV/atom
space-group type = P4/nmm

```
CeUHN2
1.0
-2.874 -1.819 0.599
1.822 -2.265 1.865
-1.889 5.982 9.114
Ce U H N
2 2 2 4
Cartesian
-2.659 2.961 6.197
0.244 0.979 4.149
-1.645 -0.251 1.303
-0.770 4.190 9.042
-0.945 2.991 4.557
-1.470 0.949 5.789
-0.413 3.061 7.321
0.695 -0.450 1.973
-3.110 4.389 8.372
-2.002 0.879 3.024
```

***

This record from Alexandria via LeMat-Bulk describes a relaxed structure of Pr7InHg2. The functional is PBE.

Calculated values
calculated volume = 38.7 Å³ per atom
DFT total energy = -3.56 eV/atom
energy relative to the elements = 124 meV per atom
space-group type = Cmmm

```
Pr7InHg2
1.0
-3.525 3.697 -1.305
-6.724 -5.277 3.212
4.017 5.856 5.741
Pr In Hg
7 1 2
Cartesian
-4.325 -2.790 3.777
1.617 3.369 5.176
-1.042 3.221 1.288
-5.190 1.055 6.360
-3.483 0.690 0.713
-2.749 3.585 6.934
-3.116 2.138 3.824
0.000 0.000 0.000
-5.209 -0.032 3.331
-1.023 4.307 4.317
```

***

This record from Alexandria via LeMat-Bulk describes a relaxed structure of DyHo14Hf. The functional is PBE.

Calculated values
calculated volume = 30.2 Å³ per atom
DFT total energy = -4.87 eV/atom
energy relative to the elements = 47 meV per atom
space-group type = P4/mmm

```
DyHo14Hf
1.0
6.933 0.930 0.000
-0.930 6.933 0.000
0.000 0.000 9.870
Dy Ho Hf
1 14 1
Cartesian
2.019 4.682 0.000
2.018 4.683 4.935
5.950 1.681 4.935
5.486 5.147 0.000
5.485 5.148 4.935
2.484 1.215 0.000
2.483 1.216 4.935
3.551 6.689 7.457
3.551 6.689 2.413
0.487 2.675 7.457
0.487 2.675 2.413
0.012 6.214 7.458
0.012 6.214 2.413
4.025 3.151 7.457
4.025 3.151 2.413
5.951 1.681 0.000
```